A plane-wave DFT calculation with PBE-GGA was carried out for ScTcAg2 after structural relaxation.

Cell: 5.138 5.138 2.893 Å, 90.00 90.00 114.93°
Fractional positions:
Ag1 0.000 0.000 0.000
Ag2 0.500 0.500 0.000
Tc1 0.000 0.500 0.500
Sc1 0.500 0.000 0.500

Values from the calculation:
energy above the lowest structure with this stoichiometry	80	meV per atom
energy of formation	0.19	eV/atom
density of states at the Fermi level	3.60	states/eV/cell
final energy	-5.41	eV per atom
space-group type	Cmmm



A plane-wave DFT calculation with PBE-GGA was carried out for DyY2Ru after structural relaxation.

Cell: 3.502 3.502 10.883 Å, 80.74 80.74 60.00°
Site moments in Bohr magnetons follow the coordinates.
Fractional positions:
Ru1 0.500 0.500 0.500  0.01
Dy1 0.000 0.000 0.000  0.24
Y1 0.107 0.107 0.679  0.04
Y2 0.893 0.893 0.321  0.04

Values from the calculation:
energy above the lowest structure with this stoichiometry	455	meV per atom
energy of formation	0.14	eV/atom
density of states at the Fermi level	7.24	states/eV/cell
final energy	-6.56	eV per atom
space-group type	R-3m



A plane-wave DFT calculation with PBE-GGA was carried out for V3FeAs after structural relaxation.

Cell: 4.476 4.476 4.476 Å, 90.00 90.00 90.00°
Site moments in Bohr magnetons follow the coordinates.
Fractional positions:
Fe1 0.500 0.500 0.500  3.20
As1 0.000 0.000 0.000  0.05
V1 0.000 0.500 0.000  -1.07
V2 0.000 0.000 0.500  -1.07
V3 0.500 0.000 0.000  -1.07

Values from the calculation:
energy above the lowest structure with this stoichiometry	330	meV per atom
energy of formation	0.92	eV/atom
density of states at the Fermi level	7.88	states/eV/cell
final energy	-7.17	eV per atom
space-group type	Pm-3m